1.
Below is ZrSc2 after structural relaxation, with properties calculated at the PBE level.

```
data_ZrSc2
_chemical_formula_sum 'Zr4 Sc8'
_symmetry_space_group_name_H-M 'I m m a'
_symmetry_Int_Tables_number 74
_symmetry_space_group_name_Hall '-I 2b 2'
_cell_length_a 3.221
_cell_length_b 4.532
_cell_length_c 21.134
_cell_angle_alpha 90.00
_cell_angle_beta 90.00
_cell_angle_gamma 90.00
loop_
_atom_site_label
_atom_site_fract_x
_atom_site_fract_y
_atom_site_fract_z
Zr1 0.000 0.250 0.109
Sc1 0.000 0.250 0.542
Sc2 0.000 0.250 0.685
```

- DOS(E_F): 6.0 states/eV/f.u.
- Formation enthalpy at 0 K: 0.324 eV/atom
- Energy: -6.746 eV per atom
- Mass density: 3.9 Mg/m³

---

2.
Below is ZrSc3 after structural relaxation, with properties calculated at the PBE level.

```
data_ZrSc3
_chemical_formula_sum 'Zr2 Sc6'
_symmetry_space_group_name_H-M 'C m m m'
_symmetry_Int_Tables_number 65
_symmetry_space_group_name_Hall '-C 2 2'
_cell_length_a 6.447
_cell_length_b 9.165
_cell_length_c 3.218
_cell_angle_alpha 90.00
_cell_angle_beta 90.00
_cell_angle_gamma 90.00
loop_
_atom_site_label
_atom_site_fract_x
_atom_site_fract_y
_atom_site_fract_z
Zr1 0.000 0.000 0.000
Sc1 0.000 0.500 0.000
Sc2 0.250 0.250 0.500
```

- DOS(E_F): 6.6 states/eV/f.u.
- Formation enthalpy at 0 K: 0.035 eV/atom
- Energy: -6.851 eV per atom
- Mass density: 3.9 Mg/m³

---

3.
Below is ZrSc3 after structural relaxation, with properties calculated at the PBE level.

```
data_ZrSc3
_chemical_formula_sum 'Zr1 Sc3'
_symmetry_space_group_name_H-M 'P 4/m m m'
_symmetry_Int_Tables_number 123
_symmetry_space_group_name_Hall '-P 4 2'
_cell_length_a 3.223
_cell_length_b 3.223
_cell_length_c 9.229
_cell_angle_alpha 90.00
_cell_angle_beta 90.00
_cell_angle_gamma 90.00
loop_
_atom_site_label
_atom_site_fract_x
_atom_site_fract_y
_atom_site_fract_z
Zr1 0.000 0.000 0.000
Sc1 0.000 0.000 0.500
Sc2 0.500 0.500 0.241
```

- DOS(E_F): 6.1 states/eV/f.u.
- Formation enthalpy at 0 K: 0.024 eV/atom
- Energy: -6.862 eV per atom
- Mass density: 3.9 Mg/m³